i:
VASP calculation (PBE-GGA) on a relaxed KGa2Bi2 crystal.

Calculated values
The crystal system is tetragonal.

a = 5.3496 Å, b = 5.3496 Å, c = 10.5272 Å
α = 90.00°, β = 90.00°, γ = 90.00°
Closest atoms and distances in Å follow each position.
Space group I4/mmm (No. 139)
Unique sites:
K 0.0000 0.0000 0.0000 x2  8 Bi 3.75, 10 Ga 3.98-3.99
Ga 0.0000 0.0000 0.3783 x4  1 Ga 2.56
Bi 0.0000 0.5000 0.2500 x4  4 Ga 3.00

---

ii:
VASP calculation (PBE-GGA) on a relaxed KGa2Bi2 crystal.

Calculated values
The crystal system is tetragonal.

a = 4.7944 Å, b = 4.7944 Å, c = 14.5547 Å
α = 90.00°, β = 90.00°, γ = 90.00°
Closest atoms and distances in Å follow each position.
Space group I4/mmm (No. 139)
Unique sites:
K 0.0000 0.0000 0.0000 x2  8 Bi 3.91, 8 Ga 4.36
Ga 0.0000 0.5000 0.2500 x4  4 Bi 2.93
Bi 0.0000 0.0000 0.3657 x4  4 Ga 2.93

---

Bottom line: ii, by a margin of 38 meV/atom.

---

i:
VASP calculation (PBE-GGA) on a relaxed KGa2Bi2 crystal.

Calculated values
The crystal system is tetragonal.

a = 3.8158 Å, b = 3.8158 Å, c = 10.3175 Å
α = 90.00°, β = 90.00°, γ = 90.00°
Closest atoms and distances in Å follow each position.
Space group P4/mmm (No. 123)
Unique sites:
K 0.0000 0.0000 0.0000 x1  8 Bi 3.78, 4 K 3.82
Ga 0.0000 0.5000 0.5000 x2  4 Ga 2.70
Bi 0.5000 0.5000 0.2565 x2  4 Ga 3.16

---

ii:
VASP calculation (PBE-GGA) on a relaxed KGa2Bi2 crystal.

Calculated values
The crystal system is triclinic.

a = 7.3975 Å, b = 7.4514 Å, c = 7.5099 Å
α = 76.14°, β = 61.06°, γ = 60.93°
Closest atoms and distances in Å follow each position.
Space group P-1 (No. 2)
Unique sites:
K 0.2495 0.0066 0.4953 x2  6 Bi 3.69-3.97, 4 Ga 3.69-3.76, 2 K 3.69-3.71
Ga 0.0033 0.2284 0.9974 x2  4 Bi 2.90-2.95, 1 Ga 3.10
Ga 0.4948 0.5023 0.2732 x2  4 Bi 2.90-2.95, 1 Ga 3.10
Bi 0.1263 0.5191 0.6749 x2  4 Ga 2.90-2.95
Bi 0.3748 0.8254 0.9817 x2  4 Ga 2.90-2.95

---

iii:
VASP calculation (PBE-GGA) on a relaxed KGa2Bi2 crystal.

Calculated values
The crystal system is tetragonal.

a = 8.5270 Å, b = 8.5270 Å, c = 3.9826 Å
α = 90.00°, β = 90.00°, γ = 90.00°
Closest atoms and distances in Å follow each position.
Space group P4/mbm (No. 127)
Unique sites:
K 0.0000 0.0000 0.0000 x2  4 Ga 3.36
Ga 0.1261 0.3739 0.0000 x4  1 Ga 3.04, 6 Bi 3.09-3.35, 2 K 3.36
Bi 0.1502 0.6502 0.5000 x4  6 Ga 3.09-3.35

---

iv:
VASP calculation (PBE-GGA) on a relaxed KGa2Bi2 crystal.

Calculated values
The crystal system is tetragonal.

a = 9.1393 Å, b = 9.1393 Å, c = 3.7223 Å
α = 90.00°, β = 90.00°, γ = 90.00°
Closest atoms and distances in Å follow each position.
Space group P4/mbm (No. 127)
Unique sites:
K 0.0000 0.0000 0.0000 x2  4 Bi 3.60, 2 K 3.72, 8 Ga 3.96
Ga 0.1467 0.3533 0.5000 x4  6 Bi 3.12-3.47
Bi 0.1266 0.6266 0.0000 x4  6 Ga 3.12-3.47, 1 Bi 3.27

---

Bottom line: ii, by a margin of 42 meV/atom.

---

i:
VASP calculation (PBE-GGA) on a relaxed K2GaBi2 crystal.

Calculated values
The crystal system is monoclinic.

a = 13.2000 Å, b = 5.2944 Å, c = 12.0782 Å
α = 90.00°, β = 120.14°, γ = 90.00°
Closest atoms and distances in Å follow each position.
Space group C2/m (No. 12)
Unique sites:
K 0.0043 0.0000 0.1716 x4  6 Bi 3.60-3.94, 4 Ga 3.79-3.92
K 0.1786 0.0000 0.6008 x4  5 Bi 3.51-3.75
Ga 0.2139 0.5000 0.8591 x4  4 Bi 2.91-3.02
Bi 0.0123 0.5000 0.3783 x4  1 Ga 2.92, 1 Bi 3.12
Bi 0.1585 0.5000 0.0635 x4  3 Ga 2.91-3.02

---

ii:
VASP calculation (PBE-GGA) on a relaxed K2GaBi2 crystal.

Calculated values
The crystal system is orthorhombic.

a = 4.0500 Å, b = 13.7458 Å, c = 14.2079 Å
α = 90.00°, β = 90.00°, γ = 90.00°
Closest atoms and distances in Å follow each position.
Space group Cmc2_1 (No. 36)
Unique sites:
K 0.0000 0.0635 0.0000 x4  5 Bi 3.65-3.77, 2 Ga 3.80, 2 K 4.05
K 0.0000 0.3155 0.2203 x4  6 Bi 3.73-4.07, 2 Ga 3.91, 2 K 4.05
Ga 0.0000 0.3710 0.8719 x4  4 Bi 2.84
Bi 0.0000 0.0465 0.2566 x4  2 Ga 2.84
Bi 0.0000 0.2093 0.4880 x4  2 Ga 2.84

---

Bottom line: i, by a margin of 123 meV/atom.